Material: TlBiAu
Method: DFT, PBE
State: optimized geometry

Cell lengths 3.7237, 5.0835, 5.0835 Å; angles 120.00, 90.00, 90.00 degrees
Element x y z (fractional)
Tl1 0.6666 0.6667 0.3333
Au1 0.1670 0.0000 0.0000
Bi1 0.1663 0.3333 0.6667

Values from the calculation:
Its polymorph energy (0 for the lowest one) is 0.036 eV/atom.

---

Material: Ir2Au
Method: DFT, PBE
State: optimized geometry

Cell lengths 2.7370, 4.4121, 17.1412 Å; angles 90.00, 90.00, 90.00 degrees
Element x y z (fractional)
Ir1 0.0000 0.2500 0.0376
Ir2 0.0000 0.2500 0.1881
Ir3 0.0000 0.7500 0.8119
Ir4 0.0000 0.7500 0.9624
Ir5 0.5000 0.2500 0.3119
Ir6 0.5000 0.2500 0.4624
Ir7 0.5000 0.7500 0.5376
Ir8 0.5000 0.7500 0.6881
Au1 0.0000 0.2500 0.6218
Au2 0.0000 0.7500 0.3782
Au3 0.5000 0.2500 0.8782
Au4 0.5000 0.7500 0.1218

Values from the calculation:
Its polymorph energy (0 for the lowest one) is 0.346 eV/atom.

---

Material: Cs3SiHg
Method: DFT, PBE
State: optimized geometry

Cell lengths 7.0337, 7.0337, 7.0337 Å; angles 90.00, 90.00, 90.00 degrees
Site moments in Bohr magnetons follow the coordinates.
Element x y z (fractional)
Cs1 0.0000 0.5000 0.0000  -0.02
Cs2 0.0000 0.0000 0.5000  -0.01
Cs3 0.5000 0.0000 0.0000  -0.03
Si1 0.5000 0.5000 0.5000  0.49
Hg1 0.0000 0.0000 0.0000  -0.11

Values from the calculation:
The raw formation energy comes out at 0.45 eV/atom.

---

Material: AlNiP2C
Method: DFT, PBE
State: optimized geometry

Cell lengths 6.0484, 3.1676, 7.8055 Å; angles 90.00, 110.73, 90.00 degrees
Element x y z (fractional)
Ni1 0.2986 0.0000 0.6107
Ni2 0.2986 0.5000 0.1107
C1 0.8358 0.0000 0.1254
C2 0.8358 0.5000 0.6254
Al1 0.8569 0.0000 0.4861
Al2 0.8569 0.5000 0.9861
P1 0.5795 0.0000 0.1893
P2 0.5795 0.5000 0.6893
P3 0.1504 0.0000 0.2761
P4 0.1504 0.5000 0.7761

Values from the calculation:
Its polymorph energy (0 for the lowest one) is 0.146 eV/atom.

---

Material: LiAgP4
Method: DFT, PBE
State: optimized geometry

Cell lengths 5.1919, 5.1919, 5.1919 Å; angles 60.00, 60.00, 60.00 degrees
Element x y z (fractional)
Li1 0.0000 0.0000 0.0000
Ag1 0.7500 0.7500 0.7500
P1 0.8564 0.3812 0.3812
P2 0.3812 0.3812 0.8564
P3 0.3812 0.8564 0.3812
P4 0.3812 0.3812 0.3812

Values from the calculation:
Its final energy is -24.77 eV for the cell shown.

---

Material: Na3H6Ir
Method: DFT, PBE
State: optimized geometry

Cell lengths 5.2077, 9.2817, 9.5569 Å; angles 90.00, 90.00, 90.00 degrees
Site moments in Bohr magnetons follow the coordinates.
Element x y z (fractional)
Na1 0.2500 0.5455 0.8724  0.00
Na2 0.2500 0.0455 0.6276  0.00
Na3 0.7500 0.4545 0.1276  0.00
Na4 0.7500 0.9545 0.3724  0.00
Na5 0.2500 0.8958 0.9660  0.00
Na6 0.2500 0.3958 0.5340  0.00
Na7 0.7500 0.1042 0.0340  0.00
Na8 0.7500 0.6042 0.4660  0.00
Na9 0.2500 0.7197 0.2507  0.00
Na10 0.2500 0.2197 0.2493  0.00
Na11 0.7500 0.2803 0.7493  0.00
Na12 0.7500 0.7803 0.7507  0.00
H1 0.4800 0.8323 0.5338  0.00
H2 0.0200 0.3323 0.9662  0.00
H3 0.9800 0.1677 0.4662  0.00
H4 0.5200 0.6677 0.0338  0.00
H5 0.5200 0.1677 0.4662  0.00
H6 0.9800 0.6677 0.0338  0.00
H7 0.0200 0.8323 0.5338  0.00
H8 0.4800 0.3323 0.9662  0.00
H9 0.4720 0.6077 0.6626  0.00
H10 0.0280 0.1077 0.8374  0.00
H11 0.9720 0.3923 0.3374  0.00
H12 0.5280 0.8923 0.1626  0.00
H13 0.5280 0.3923 0.3374  0.00
H14 0.9720 0.8923 0.1626  0.00
H15 0.0280 0.6077 0.6626  0.00
H16 0.4720 0.1077 0.8374  0.00
H17 0.2500 0.6232 0.4525  0.00
H18 0.2500 0.1232 0.0475  0.00
H19 0.7500 0.3768 0.5475  0.00
H20 0.7500 0.8768 0.9525  0.00
H21 0.2500 0.8157 0.7489  0.00
H22 0.2500 0.3157 0.7511  0.00
H23 0.7500 0.1843 0.2511  0.00
H24 0.7500 0.6843 0.2489  0.00
Ir1 0.2500 0.7219 0.5988  0.14
Ir2 0.2500 0.2219 0.9012  0.14
Ir3 0.7500 0.2781 0.4012  0.14
Ir4 0.7500 0.7781 0.0988  0.14

Values from the calculation:
Its polymorph energy (0 for the lowest one) is 0.000 eV/atom.

---

Spin magnetization for the records above, in order: 0.000, 0.002, 1.158, 0.000, 0.000, 0.580 Bohr magnetons per cell
DOS(E_F) for the records above, in order: 0.22, 1.52, 0.45, 0.36, 0.21, 0.00 states/eV/atom